[1]
Material: Ho2Ga4Rh3
Method: DFT, PBE-GGA
State: relaxed

It has space group Fmmm (No. 69), with a = 5.4641 Å, b = 9.4923 Å, c = 12.6033 Å, α = 90.00°, β = 90.00° and γ = 90.00°. The inequivalent atoms are Ho at (0.0000, 0.0000, 0.1260), Ga at (0.0000, 0.1694, 0.3383), Rh at (0.0000, 0.0000, 0.5000) and Rh at (0.2500, 0.2500, 0.0000).

The formation energy comes out at -0.7000 eV per atom. For the total magnetization, the calculation gives 0.0 μB/f.u.

=====

[2]
Material: MgCdSn
Method: DFT, PBE-GGA
State: relaxed

It has space group P1 (No. 1), with a = 3.3219 Å, b = 5.6859 Å, c = 8.2935 Å, α = 77.77°, β = 78.79° and γ = 73.56°. The inequivalent atoms are Mg at (0.0000, 0.0000, 0.0000), Mg at (0.3434, 0.4927, 0.8142), Cd at (0.3395, 0.9899, 0.3324), Cd at (0.6693, 0.9757, 0.6803), Sn at (0.0062, 0.4746, 0.4937) and Sn at (0.6782, 0.5095, 0.1364).

The formation energy comes out at 0.0004 eV per atom. For the total magnetization, the calculation gives 0.0 μB/f.u.

=====

[3]
Material: CeInCuAg
Method: DFT, PBE-GGA
State: relaxed

It has space group F-43m (No. 216), with a = 6.9693 Å, b = 6.9693 Å, c = 6.9693 Å, α = 90.00°, β = 90.00° and γ = 90.00°. The inequivalent atoms are Ce at (0.0000, 0.0000, 0.0000), In at (0.0000, 0.0000, 0.5000), Cu at (0.2500, 0.2500, 0.2500) and Ag at (0.2500, 0.2500, 0.7500).

The formation energy comes out at -0.2282 eV per atom. For the total magnetization, the calculation gives 0.7 μB/f.u.

=====

[4]
Material: Li2Ca3Cd9
Method: DFT, PBE-GGA
State: relaxed

It has space group Immm (No. 71), with a = 4.8823 Å, b = 10.3859 Å, c = 13.5110 Å, α = 90.00°, β = 90.00° and γ = 90.00°. The inequivalent atoms are Li at (0.0000, 0.1722, 0.0000), Ca at (0.0000, 0.0000, 0.2094), Ca at (0.0000, 0.0000, 0.5000), Cd at (0.0000, 0.2805, 0.3692), Cd at (0.0000, 0.3612, 0.1502) and Cd at (0.0000, 0.5000, 0.5000).

The formation energy comes out at -0.2690 eV per atom. For the total magnetization, the calculation gives 0.0 μB/f.u.

=====

[5]
Material: IrSO2
Method: DFT, PBE-GGA
State: relaxed

It has space group R-3m (No. 166, hexagonal axes), with a = 3.1848 Å, b = 3.1848 Å, c = 17.4457 Å, α = 90.00°, β = 90.00° and γ = 120.00°. The inequivalent atoms are Ir at (0.0000, 0.0000, 0.0000), S at (0.0000, 0.0000, 0.5000) and O at (0.0000, 0.0000, 0.3877).

For the total magnetization, the calculation gives 0.0 μB/f.u. For the raw formation energy, the calculation gives -0.038 eV per atom.

=====

[6]
Material: SmPuSn
Method: DFT, PBE-GGA
State: relaxed

It has space group Cmcm (No. 63), with a = 4.2925 Å, b = 20.9189 Å, c = 3.5300 Å, α = 90.00°, β = 90.00° and γ = 90.00°. The inequivalent atoms are Sm at (0.0000, 0.1946, 0.2500), Pu at (0.0000, 0.0353, 0.2500) and Sn at (0.0000, 0.3883, 0.2500).

The formation energy comes out at -0.1527 eV per atom. The offset from the most stable computed form is 319 meV/atom. For the total magnetization, the calculation gives 0.5 μB/f.u.

=====

[7]
Material: Ta3AgPt
Method: DFT, PBE-GGA
State: relaxed

It has space group Pm-3m (No. 221), with a = 4.8145 Å, b = 4.8145 Å, c = 4.8145 Å, α = 90.00°, β = 90.00° and γ = 90.00°. The inequivalent atoms are Ta at (0.0000, 0.0000, 0.5000), Ag at (0.0000, 0.0000, 0.0000) and Pt at (0.5000, 0.5000, 0.5000).

The formation energy comes out at 1.9827 eV per atom. The offset from the most stable computed form is 739 meV/atom. For the total magnetization, the calculation gives 0.0 μB/f.u.

=====

[8]
Material: LaI
Method: DFT, PBE-GGA
State: relaxed

It has space group Cmcm (No. 63), with a = 9.2771 Å, b = 9.4194 Å, c = 5.9990 Å, α = 90.00°, β = 90.00° and γ = 90.00°. The inequivalent atoms are La at (0.0000, 0.0673, 0.2500), La at (0.0000, 0.3437, 0.7500) and I at (0.2028, 0.3650, 0.2500).

For the total magnetization, the calculation gives 0.0 μB/f.u. For the raw formation energy, the calculation gives -0.890 eV per atom.